Record 1
The following is a DFT calculation (PBE with a Hubbard U) of a relaxed structure of MnAgClF2.

Properties
Density of states at the Fermi level   0.06 states/eV per atom
ρ   4.3 g cm⁻³
Energy above the most stable polymorph in this dataset   0.21 eV/f.u.
Space group   P4/mmm
Crystal system   tetragonal

a b c (Å): 4.0671 4.0671 5.4879
angles (deg): 90.00 90.00 90.00
Last column: nearest neighbours and their distance in Å.
Element x y z (fractional)
Mn 0.0000 0.0000 0.0000  4 F 2.03
Ag 0.5000 0.5000 0.5000  4 Cl 2.88
Cl 0.0000 0.0000 0.5000  2 Mn 2.74, 4 Ag 2.88
F 0.0000 0.5000 0.0000  2 Mn 2.03
F 0.5000 0.0000 0.0000  2 Mn 2.03

---

Record 2
The following is a DFT calculation (PBE with a Hubbard U) of a relaxed structure of MnAgCl2F.

Properties
Density of states at the Fermi level   0.06 states/eV per atom
ρ   4.0 g cm⁻³
Raw total energy   -0.1612 hartree per atom
Space group   P4/mmm
Crystal system   tetragonal

a b c (Å): 5.1205 5.1205 4.0028
angles (deg): 90.00 90.00 90.00
Last column: nearest neighbours and their distance in Å.
Element x y z (fractional)
Mn 0.0000 0.0000 0.0000  2 F 2.00
Ag 0.5000 0.5000 0.5000  8 Cl 3.25, 4 F 3.62
Cl 0.0000 0.5000 0.0000  2 Mn 2.56
Cl 0.5000 0.0000 0.0000  2 Mn 2.56
F 0.0000 0.0000 0.5000  2 Mn 2.00

---

Record 3
The following is a DFT calculation (PBE with a Hubbard U) of a relaxed structure of MnAg2Cl3F.

Properties
ρ   4.4 g cm⁻³
Raw total energy   -0.1443 hartree per atom
Space group   Immm
Crystal system   orthorhombic

a b c (Å): 4.0263 5.2319 14.2862
angles (deg): 90.00 90.00 90.00
Last column: nearest neighbours and their distance in Å.
Element x y z (fractional)
Mn 0.0000 0.0000 0.0000  2 F 2.01
Mn 0.5000 0.5000 0.5000  2 F 2.01
Ag 0.0000 0.0000 0.3545  1 Cl 2.52
Ag 0.0000 0.0000 0.6455  1 Cl 2.52
Ag 0.5000 0.5000 0.1455  1 Cl 2.52
Ag 0.5000 0.5000 0.8545  1 Cl 2.52
Cl 0.0000 0.0000 0.1779  1 Ag 2.52, 1 Mn 2.54
Cl 0.0000 0.0000 0.8221  1 Ag 2.52, 1 Mn 2.54
Cl 0.0000 0.5000 0.0000  2 Mn 2.62, 4 Ag 2.89
Cl 0.5000 0.0000 0.5000  2 Mn 2.62, 4 Ag 2.89
Cl 0.5000 0.5000 0.3221  1 Ag 2.52, 1 Mn 2.54
Cl 0.5000 0.5000 0.6779  1 Ag 2.52, 1 Mn 2.54
F 0.0000 0.5000 0.5000  2 Mn 2.01
F 0.5000 0.0000 0.0000  2 Mn 2.01

---

Record 4
The following is a DFT calculation (PBE with a Hubbard U) of a relaxed structure of MnAg3Cl2F6.

Properties
Density of states at the Fermi level   0.69 states/eV per atom
ρ   4.6 g cm⁻³
Raw total energy   -0.1451 hartree per atom
Space group   C2/m
Crystal system   monoclinic

a b c (Å): 7.1272 7.1272 4.9558
angles (deg): 90.54 90.54 54.59
Last column: nearest neighbours and their distance in Å.
Element x y z (fractional)
Mn 0.0000 0.0000 0.0000  6 F 1.85-1.87
Ag 0.0000 0.5000 0.0000  2 Cl 2.48, 4 F 2.56-2.59
Ag 0.5000 0.0000 0.0000  2 Cl 2.48, 4 F 2.56-2.59
Ag 0.5000 0.5000 0.5000  2 Cl 2.49, 4 F 2.54
Cl 0.3147 0.3147 0.6644  3 Ag 2.48-2.49
Cl 0.6853 0.6853 0.3356  3 Ag 2.48-2.49
F 0.1202 0.1202 0.2149  1 Mn 1.85
F 0.1425 0.7319 0.2057  1 Mn 1.87
F 0.2681 0.8575 0.7943  1 Mn 1.87
F 0.7319 0.1425 0.2057  1 Mn 1.87
F 0.8575 0.2681 0.7943  1 Mn 1.87
F 0.8798 0.8798 0.7851  1 Mn 1.85

---

Record 5
The following is a DFT calculation (PBE with a Hubbard U) of a relaxed structure of MnAgClF2.

Properties
ρ   4.4 g cm⁻³
Energy above the most stable polymorph in this dataset   0.00 eV/f.u.
Space group   I4cm
Crystal system   tetragonal

a b c (Å): 6.9116 6.9116 6.9116
angles (deg): 132.11 132.11 70.05
Last column: nearest neighbours and their distance in Å.
Element x y z (fractional)
Mn 0.0000 0.0000 0.0000  4 F 2.08
Mn 0.5000 0.5000 0.0000  4 F 2.08
Ag 0.2861 0.7861 0.5000  2 F 2.53
Ag 0.7861 0.2861 0.5000  2 F 2.53
Cl 0.2252 0.2252 0.0000  1 Mn 2.55
Cl 0.7252 0.7252 0.0000  1 Mn 2.55
F 0.1563 0.2738 0.5000  2 Mn 2.08
F 0.2738 0.7738 0.1175  2 Mn 2.08
F 0.6563 0.1563 0.8825  2 Mn 2.08
F 0.7738 0.6563 0.5000  2 Mn 2.08

---

Record 6
The following is a DFT calculation (PBE with a Hubbard U) of a relaxed structure of MnAg3Cl6F2.

Properties
Density of states at the Fermi level   0.61 states/eV per atom
ρ   4.0 g cm⁻³
Raw total energy   -0.1220 hartree per atom
Space group   C2/m
Crystal system   monoclinic

a b c (Å): 7.2535 7.2535 5.7375
angles (deg): 97.26 97.26 62.13
Last column: nearest neighbours and their distance in Å.
Element x y z (fractional)
Mn 0.0000 0.0000 0.0000  6 Cl 2.53-2.56
Ag 0.0000 0.5000 0.0000  4 Cl 2.50, 2 F 2.63
Ag 0.5000 0.0000 0.0000  4 Cl 2.50, 2 F 2.63
Ag 0.5000 0.5000 0.5000  2 F 2.07
Cl 0.1457 0.6510 0.7491  2 Ag 2.50-2.78, 1 Mn 2.56
Cl 0.1564 0.1564 0.7626  2 Ag 2.50, 1 Mn 2.53
Cl 0.3490 0.8543 0.2509  2 Ag 2.50-2.78, 1 Mn 2.56
Cl 0.6510 0.1457 0.7491  2 Ag 2.50-2.78, 1 Mn 2.56
Cl 0.8436 0.8436 0.2374  2 Ag 2.50, 1 Mn 2.53
Cl 0.8543 0.3490 0.2509  2 Ag 2.50-2.78, 1 Mn 2.56
F 0.3623 0.3623 0.2494  1 Ag 2.07
F 0.6377 0.6377 0.7506  1 Ag 2.07

---

Record 7
The following is a DFT calculation (PBE with a Hubbard U) of a relaxed structure of Ag3MoCl6F2.

Properties
Density of states at the Fermi level   0.51 states/eV per atom
ρ   3.9 g cm⁻³
Raw total energy   -0.1223 hartree per atom
Space group   C2/m
Crystal system   monoclinic

a b c (Å): 7.7919 7.7919 6.1667
angles (deg): 109.00 109.00 54.59
Last column: nearest neighbours and their distance in Å.
Element x y z (fractional)
Ag 0.0000 0.0000 0.0000  2 F 2.19
Ag 0.0000 0.5000 0.5000  2 F 2.34, 2 Cl 2.57
Ag 0.5000 0.0000 0.5000  2 F 2.34, 2 Cl 2.57
Mo 0.5000 0.5000 0.5000  6 Cl 2.40-2.48
Cl 0.1595 0.6377 0.2439  1 Mo 2.40
Cl 0.3623 0.8405 0.7561  1 Mo 2.40
Cl 0.3830 0.3830 0.7225  1 Mo 2.48, 2 Ag 2.57
Cl 0.6170 0.6170 0.2775  1 Mo 2.48, 2 Ag 2.57
Cl 0.6377 0.1595 0.2439  1 Mo 2.40
Cl 0.8405 0.3623 0.7561  1 Mo 2.40
F 0.1502 0.1502 0.2886  3 Ag 2.19-2.34
F 0.8498 0.8498 0.7114  3 Ag 2.19-2.34

---

Record 8
The following is a DFT calculation (PBE with a Hubbard U) of a relaxed structure of AgMoClF2.

Properties
Density of states at the Fermi level   0.18 states/eV per atom
ρ   4.5 g cm⁻³
Raw total energy   -0.1602 hartree per atom
Space group   P4/mmm
Crystal system   tetragonal

a b c (Å): 4.2287 4.2287 5.7135
angles (deg): 90.00 90.00 90.00
Last column: nearest neighbours and their distance in Å.
Element x y z (fractional)
Ag 0.0000 0.0000 0.0000  4 Cl 2.99
Mo 0.5000 0.5000 0.5000  4 F 2.11
Cl 0.5000 0.5000 0.0000  2 Mo 2.86, 4 Ag 2.99
F 0.0000 0.5000 0.5000  2 Mo 2.11
F 0.5000 0.0000 0.5000  2 Mo 2.11

---

Record 9
The following is a DFT calculation (PBE with a Hubbard U) of a relaxed structure of Ag3MoCl2F6.

Properties
ρ   4.1 g cm⁻³
Raw total energy   -0.1504 hartree per atom
Space group   C2/m
Crystal system   monoclinic

a b c (Å): 7.8482 7.8482 4.8484
angles (deg): 97.15 97.15 55.85
Last column: nearest neighbours and their distance in Å.
Element x y z (fractional)
Ag 0.0000 0.0000 0.0000  2 Cl 2.50
Ag 0.0000 0.5000 0.5000  2 Cl 2.47, 2 F 2.74
Ag 0.5000 0.0000 0.5000  2 Cl 2.47, 2 F 2.74
Mo 0.5000 0.5000 0.5000  6 F 1.92-1.95
Cl 0.1759 0.1759 0.2027  3 Ag 2.47-2.50
Cl 0.8241 0.8241 0.7973  3 Ag 2.47-2.50
F 0.2469 0.6288 0.2695  1 Mo 1.92
F 0.3712 0.7531 0.7305  1 Mo 1.92
F 0.3881 0.3881 0.7028  1 Mo 1.95
F 0.6119 0.6119 0.2972  1 Mo 1.95
F 0.6288 0.2469 0.2695  1 Mo 1.92
F 0.7531 0.3712 0.7305  1 Mo 1.92

---

Record 10
The following is a DFT calculation (PBE with a Hubbard U) of a relaxed structure of Ag6Mo2ClO7F3.

Properties
Density of states at the Fermi level   0.00 states/eV per atom
ρ   5.8 g cm⁻³
Raw total energy   -0.1810 hartree per atom
Space group   P3m1
Crystal system   trigonal

a b c (Å): 7.6063 7.6063 5.9849
angles (deg): 90.00 90.00 120.00
Last column: nearest neighbours and their distance in Å.
Element x y z (fractional)
Ag 0.0059 0.5029 0.0000  4 O 2.41-2.59, 1 Cl 2.66
Ag 0.3593 0.1797 0.4469  3 O 2.35-2.47, 2 F 2.55
Ag 0.4971 0.5029 0.0000  4 O 2.41-2.59, 1 Cl 2.66
Ag 0.4971 0.9941 0.0000  4 O 2.41-2.59, 1 Cl 2.66
Ag 0.8203 0.1797 0.4469  3 O 2.35-2.47, 2 F 2.55
Ag 0.8203 0.6407 0.4469  3 O 2.35-2.47, 2 F 2.55
Mo 0.0000 0.0000 0.9411  3 O 1.81
Mo 0.3333 0.6667 0.5119  4 O 1.81-1.84
Cl 0.6667 0.3333 0.7576  6 Ag 2.66-2.75
O 0.0802 0.5401 0.3952  1 Mo 1.81
O 0.2457 0.1228 0.0755  1 Mo 1.81
O 0.3333 0.6667 0.8192  1 Mo 1.84
O 0.4599 0.5401 0.3952  1 Mo 1.81
O 0.4599 0.9198 0.3952  1 Mo 1.81
O 0.8772 0.1228 0.0755  1 Mo 1.81
O 0.8772 0.7543 0.0755  1 Mo 1.81
F 0.1152 0.2305 0.6949  1 Mo 2.12
F 0.1152 0.8848 0.6949  1 Mo 2.12
F 0.7695 0.8848 0.6949  1 Mo 2.12